No. 1
## YCrP (GGA-PBE)

Data for a relaxed structure of YCrP.

a = 6.6296 Å, b = 6.6296 Å, c = 6.6296 Å
α = 90.00°, β = 90.00°, γ = 90.00°
With the nearest neighbours (Å) after each atom.
Space group F-43m (No. 216)
Unique sites:
Y1 0.0000 0.0000 0.0000 x4  4 Cr 2.87, 4 P 2.87
Cr1 0.2500 0.2500 0.2500 x4  4 Y 2.87
P1 0.2500 0.2500 0.7500 x4  4 Y 2.87

Formation energy ... 0.84 eV/f.u.

No. 2
## ZnCr4Br (GGA-PBE)

Data for a relaxed structure of ZnCr4Br.

a = 6.9283 Å, b = 6.9283 Å, c = 6.9283 Å
α = 90.00°, β = 90.00°, γ = 90.00°
With the nearest neighbours (Å) after each atom.
Space group F-43m (No. 216)
Unique sites:
Zn1 0.0000 0.0000 0.0000 x4  12 Cr 2.87, 4 Br 3.00
Cr1 0.1252 0.1252 0.3748 x16  6 Cr 2.44-2.45
Br1 0.2500 0.2500 0.7500 x4  12 Cr 2.87, 4 Zn 3.00

Uncorrected formation energy ... 0.809 eV/atom

No. 3
## BaSc2Zn (GGA-PBE)

Data for a relaxed structure of BaSc2Zn.

a = 3.5362 Å, b = 3.5362 Å, c = 31.1975 Å
α = 90.00°, β = 90.00°, γ = 120.00°
With the nearest neighbours (Å) after each atom.
Space group R-3m (No. 166, hexagonal axes)
Unique sites:
Ba1 0.0000 0.0000 0.0000 x3  6 Ba 3.54, 6 Sc 3.79
Sc1 0.0000 0.0000 0.2308 x6  3 Zn 2.86
Zn1 0.0000 0.0000 0.5000 x3  6 Sc 2.86

Formation energy ... 0.72 eV/f.u.

No. 4
## MgBeB (GGA-PBE)

Data for a relaxed structure of MgBeB.

a = 5.2253 Å, b = 5.2253 Å, c = 5.2253 Å
α = 90.00°, β = 90.00°, γ = 90.00°
With the nearest neighbours (Å) after each atom.
Space group F-43m (No. 216)
Unique sites:
Mg1 0.0000 0.0000 0.0000 x4  4 B 2.26
Be1 0.0000 0.0000 0.5000 x4  4 B 2.26
B1 0.2500 0.2500 0.7500 x4  4 Be 2.26, 4 Mg 2.26

Formation energy ... 1.25 eV/f.u.
Distance to the lowest polymorph of the same formula ... 412.1 meV/atom

No. 5
## Rb2NaTlBr4 (GGA-PBE)

Data for a relaxed structure of Rb2NaTlBr4.

a = 8.2057 Å, b = 4.7489 Å, c = 8.2620 Å
α = 90.00°, β = 109.24°, γ = 90.00°
With the nearest neighbours (Å) after each atom.
Space group P2/m (No. 10)
Unique sites:
Rb1 0.0000 0.0000 0.0000 x1  6 Br 3.53-3.55
Rb2 0.0000 0.5000 0.5000 x1  6 Br 3.39-3.40
Na1 0.5000 0.0000 0.5000 x1  6 Br 3.16-3.21
Tl1 0.5000 0.5000 0.0000 x1  6 Br 3.34
Br1 0.2690 0.0000 0.7397 x2  1 Na 3.16, 2 Tl 3.34, 2 Rb 3.40
Br2 0.2758 0.5000 0.2713 x2  2 Na 3.21, 1 Tl 3.34, 3 Rb 3.39-3.53

Uncorrected formation energy ... -1.456 eV/atom

No. 6
## BaSm2Ag2Pb2 (GGA-PBE)

Data for a relaxed structure of BaSm2Ag2Pb2.

a = 5.0630 Å, b = 5.0630 Å, c = 29.0259 Å
α = 90.00°, β = 90.00°, γ = 120.00°
With the nearest neighbours (Å) after each atom.
Space group R-3m (No. 166, hexagonal axes)
Unique sites:
Ba1 0.0000 0.0000 0.0000 x3  6 Pb 3.69, 2 Sm 4.00
Sm1 0.0000 0.0000 0.1378 x6  3 Ag 3.00
Ag1 0.0000 0.0000 0.4473 x6  3 Sm 3.00, 1 Ag 3.06, 3 Pb 3.11
Pb1 0.0000 0.0000 0.2555 x6  3 Ag 3.11, 4 Sm 3.40-3.42

Formation energy ... -2.73 eV/f.u.

No. 7
## ScTl3C (GGA-PBE)

Data for a relaxed structure of ScTl3C.

a = 4.9610 Å, b = 4.9610 Å, c = 4.9610 Å
α = 90.00°, β = 90.00°, γ = 90.00°
With the nearest neighbours (Å) after each atom.
Space group Pm-3m (No. 221)
Unique sites:
Sc1 0.0000 0.0000 0.0000 x1  12 Tl 3.51
Tl1 0.0000 0.5000 0.5000 x3  2 C 2.48
C1 0.5000 0.5000 0.5000 x1  6 Tl 2.48

Formation energy ... 5.07 eV/f.u.
Distance to the lowest polymorph of the same formula ... 0.0 meV/atom

No. 8
## Ta2SbRu (GGA-PBE)

Data for a relaxed structure of Ta2SbRu.

a = 3.0562 Å, b = 3.0562 Å, c = 27.0595 Å
α = 90.00°, β = 90.00°, γ = 120.00°
With the nearest neighbours (Å) after each atom.
Space group R-3m (No. 166, hexagonal axes)
Unique sites:
Ta1 0.0000 0.0000 0.2436 x6  3 Ru 2.73, 3 Sb 3.00, 6 Ta 3.06
Sb1 0.0000 0.0000 0.0000 x3  6 Ta 3.00, 6 Sb 3.06
Ru1 0.0000 0.0000 0.5000 x3  6 Ta 2.73, 6 Ru 3.06

Uncorrected formation energy ... 0.200 eV/atom